Density functional theory data (PBE) for a relaxed structure of U2C3.

Lattice parameters (Å, degrees): 6.965 6.965 6.965 109.47 109.47 109.47
Site moments in Bohr magnetons follow the coordinates.
Fractional coordinates of all 20 atoms:
1 C 0.714 0.250 0.964  -0.03
2 C 0.214 0.964 0.250  -0.03
3 C 0.464 0.714 0.750  -0.03
4 C 0.786 0.750 0.536  -0.03
5 C 0.750 0.214 0.464  -0.03
6 C 0.536 0.250 0.786  -0.03
7 C 0.250 0.464 0.214  -0.03
8 C 0.286 0.536 0.750  -0.03
9 C 0.250 0.286 0.036  -0.03
10 C 0.964 0.750 0.714  -0.03
11 C 0.750 0.036 0.286  -0.03
12 C 0.036 0.786 0.250  -0.03
13 U 0.000 0.500 0.402  1.12
14 U 0.902 0.000 0.000  1.00
15 U 0.500 0.402 0.500  1.04
16 U 0.500 0.902 0.500  1.04
17 U 0.402 0.000 0.000  1.00
18 U 0.000 0.500 0.902  1.12
19 U 0.598 0.598 0.098  1.02
20 U 0.098 0.098 0.598  1.01

- V (Å³ per atom) = 13.00
- E (eV per atom) = -10.17
- M_tot (μB/f.u.) = 2.15

Density functional theory data (PBE) for a relaxed structure of UC.

Lattice parameters (Å, degrees): 3.765 3.765 3.765 60.00 60.00 60.00
Site moments in Bohr magnetons follow the coordinates.
Fractional coordinates of all 2 atoms:
1 C 0.000 0.000 0.000  -0.06
2 U 0.250 0.250 0.250  1.70

- V (Å³ per atom) = 18.87
- M_tot (μB/f.u.) = 1.95
- polymorph energy (0 for the lowest one) (meV per atom) = 473

Density functional theory data (PBE) for a relaxed structure of UC.

Lattice parameters (Å, degrees): 3.295 3.295 3.099 90.00 90.00 120.00
Fractional coordinates of all 2 atoms:
1 C 0.667 0.333 0.750
2 U 0.333 0.667 0.250

- V (Å³ per atom) = 14.57
- M_tot (μB/f.u.) = 1.08
- polymorph energy (0 for the lowest one) (meV per atom) = 280

Density functional theory data (PBE) for a relaxed structure of UC.

Lattice parameters (Å, degrees): 3.444 4.939 3.507 90.00 90.00 90.00
Fractional coordinates of all 4 atoms:
1 U 0.500 0.000 0.251
2 U 0.000 0.500 0.749
3 C 0.500 0.500 0.247
4 C 0.000 0.000 0.753

- V (Å³ per atom) = 14.91
- M_tot (μB/f.u.) = 0.01
- polymorph energy (0 for the lowest one) (meV per atom) = 1

What did the third record say?
Density functional theory data (PBE) for a relaxed structure of UC.

Lattice parameters (Å, degrees): 3.295 3.295 3.099 90.00 90.00 120.00
Fractional coordinates of all 2 atoms:
1 C 0.667 0.333 0.750
2 U 0.333 0.667 0.250

- V (Å³ per atom) = 14.57
- M_tot (μB/f.u.) = 1.08
- polymorph energy (0 for the lowest one) (meV per atom) = 280

Repeat the second record exactly.
Density functional theory data (PBE) for a relaxed structure of UC.

Lattice parameters (Å, degrees): 3.765 3.765 3.765 60.00 60.00 60.00
Site moments in Bohr magnetons follow the coordinates.
Fractional coordinates of all 2 atoms:
1 C 0.000 0.000 0.000  -0.06
2 U 0.250 0.250 0.250  1.70

- V (Å³ per atom) = 18.87
- M_tot (μB/f.u.) = 1.95
- polymorph energy (0 for the lowest one) (meV per atom) = 473

M_tot of number 2 (UC)?
1.95 μB/f.u.

Among the records above, which one has the lowest M_tot?
number 4